# 1
Density functional theory data (PBE) for a relaxed structure of PmTm8Th2.

Cell lengths 18.9020, 6.9387, 5.4986 Å; angles 90.00, 92.12, 90.00 degrees
Last column: nearest neighbours and their distance in Å.
Space group C2/m (No. 12)
Inequivalent atoms, fractional coordinates:
Pm (0.0000, 0.0000, 0.0000) (multiplicity 2)  10 Tm 3.47-3.80
Tm (0.0468, 0.5000, 0.2395) (multiplicity 4)  2 Tm 3.12-3.42, 1 Th 3.22
Tm (0.1319, 0.2691, 0.7368) (multiplicity 8)  4 Tm 3.20-3.51, 2 Th 3.41-3.52, 1 Pm 3.47
Tm (0.1828, 0.0000, 0.2337) (multiplicity 4)  4 Th 3.31-3.53, 4 Tm 3.42-3.50, 1 Pm 3.64
Th (0.2174, 0.5000, 0.2588) (multiplicity 4)  9 Tm 3.22-3.53

Distance to the lowest polymorph of the same formula   160 kJ/mol of formula units
V   720.7 Å³/cell
Energy of formation from the pure elements   181 meV per atom



# 2
Density functional theory data (PBE) for a relaxed structure of TmZnNi.

Cell lengths 4.2554, 4.2554, 3.4207 Å; angles 90.00, 90.00, 120.00 degrees
Last column: nearest neighbours and their distance in Å.
Space group P-6m2 (No. 187)
Inequivalent atoms, fractional coordinates:
Tm (0.0000, 0.0000, 0.0000) (multiplicity 1)  6 Ni 2.99, 6 Zn 2.99
Zn (0.3333, 0.6667, 0.5000) (multiplicity 1)  3 Ni 2.46
Ni (0.6667, 0.3333, 0.5000) (multiplicity 1)  3 Zn 2.46

V   53.6 Å³/cell
Energy of formation from the pure elements   -399 meV per atom



# 3
Density functional theory data (PBE) for a relaxed structure of CrCu2C.

Cell lengths 3.1192, 3.1192, 18.4250 Å; angles 90.00, 90.00, 90.00 degrees
Last column: nearest neighbours and their distance in Å.
Space group I-42d (No. 122)
Inequivalent atoms, fractional coordinates:
Cr (0.0000, 0.0000, 0.0000) (multiplicity 4)  4 C 2.21
Cu (0.2456, 0.2500, 0.6250) (multiplicity 8)  4 Cu 2.19-2.23
C (0.0000, 0.0000, 0.5000) (multiplicity 4)  4 Cr 2.21

V   179.3 Å³/cell
Energy of formation from the pure elements   899 meV per atom



# 4
Density functional theory data (PBE) for a relaxed structure of Re2HgW.

Cell lengths 5.6769, 7.6803, 2.9941 Å; angles 90.00, 90.00, 90.00 degrees
Last column: nearest neighbours and their distance in Å.
Space group Cmmm (No. 65)
Inequivalent atoms, fractional coordinates:
Re (0.2500, 0.2500, 0.0000) (multiplicity 4)  4 Hg 2.82, 4 W 2.82, 4 Re 2.84-2.99
Hg (0.0000, 0.0000, 0.5000) (multiplicity 2)  8 Re 2.82, 2 W 2.84, 2 Hg 2.99
W (0.0000, 0.5000, 0.5000) (multiplicity 2)  8 Re 2.82, 2 Hg 2.84, 2 W 2.99

V   130.5 Å³/cell
Energy of formation from the pure elements   722 meV per atom



# 5
Density functional theory data (PBE) for a relaxed structure of PdPtPb2.

Cell lengths 6.9683, 6.9683, 6.9683 Å; angles 90.00, 90.00, 90.00 degrees
Last column: nearest neighbours and their distance in Å.
Space group Fm-3m (No. 225)
Inequivalent atoms, fractional coordinates:
Pd (0.0000, 0.0000, 0.0000) (multiplicity 4)  8 Pb 3.02
Pt (0.0000, 0.0000, 0.5000) (multiplicity 4)  8 Pb 3.02
Pb (0.2500, 0.2500, 0.2500) (multiplicity 8)  4 Pd 3.02, 4 Pt 3.02

Distance to the lowest polymorph of the same formula   22 kJ/mol of formula units
V   338.4 Å³/cell
Energy of formation from the pure elements   -92 meV per atom



# 6
Density functional theory data (PBE) for a relaxed structure of Cu2BiPd2.

Cell lengths 7.3840, 7.3840, 3.0769 Å; angles 90.00, 90.00, 90.00 degrees
Last column: nearest neighbours and their distance in Å.
Space group P4/mbm (No. 127)
Inequivalent atoms, fractional coordinates:
Cu (0.1546, 0.3454, 0.0000) (multiplicity 4)  6 Pd 2.65-2.66
Bi (0.0000, 0.0000, 0.5000) (multiplicity 2)  4 Pd 2.86, 2 Bi 3.08, 8 Cu 3.19
Pd (0.1374, 0.6374, 0.5000) (multiplicity 4)  6 Cu 2.65-2.66, 2 Bi 2.86, 1 Pd 2.87

Distance to the lowest polymorph of the same formula   12 kJ/mol of formula units
V   167.8 Å³/cell
Energy of formation from the pure elements   -22 meV per atom



no.,total magnetization (μB/atom),E (eV per cell)
1,0.000,-106.75
2,0.000,-12.72
3,0.438,-93.77
4,0.000,-70.53
5,0.000,-76.07
6,0.000,-45.14